Computed, not measured: a geometry-optimized Co2PPdCl structure at the GGA-PBE level of DFT.

Summary:
electronic total energy = -4.36 eV per atom
symmetry = P4/mmm
ΔE_f (raw) = 0.974 eV/atom

Cell lengths 4.029, 4.839, 4.029 Å; angles 90.00, 90.00, 90.00 degrees
Sites, in units of the cell vectors:
Co 0.000 0.000 0.500
Co 0.500 0.000 0.000
Pd 0.500 0.500 0.500
P 0.000 0.500 0.000
Cl 0.000 0.000 0.000

=====

Computed, not measured: a geometry-optimized ZnPtRh2 structure at the GGA-PBE level of DFT.

Summary:
electronic total energy = -5.55 eV per atom
symmetry = Cmm2
energy of formation = -44.5 meV/atom

Cell lengths 2.734, 2.734, 9.070 Å; angles 90.00, 90.00, 119.45 degrees
Sites, in units of the cell vectors:
Rh 0.000 0.000 0.006
Rh 0.500 0.500 0.256
Pt 0.500 0.500 0.742
Zn 0.000 0.000 0.495

=====

Computed, not measured: a geometry-optimized AcLaY structure at the GGA-PBE level of DFT.

Summary:
electronic total energy = -5.12 eV per atom
symmetry = P3m1
energy of formation = 43.8 meV/atom
energy above the most stable polymorph in this dataset = 9 meV per atom

Cell lengths 3.789, 3.789, 9.187 Å; angles 90.00, 90.00, 120.00 degrees
Sites, in units of the cell vectors:
Y 0.333 0.667 0.671
Ac 0.667 0.333 0.340
La 0.000 0.000 0.990

=====

Which of these has the highest electronic total energy? Co2PPdCl

=====

electronic total energy of number 1 (Co2PPdCl)? -4.36 eV per atom

=====

What is the electronic total energy in the first record? -4.36 eV per atom